Material: In4Te3As
Method: DFT, PBE
State: optimized geometry

Values from the calculation:
Space-group type ... Pmmn
Final energy ... -3.32 eV/atom
E_form (uncorrected) ... -189 meV per atom
Density ... 5.47 g/cm3
Spin magnetization ... 0.0000 μB per atom

Cell lengths 6.072, 8.711, 10.536 Å; angles 90.00, 90.00, 90.00 degrees
Fractional coordinates of all 16 atoms:
In 0.064 0.855 0.000
In 0.564 0.172 0.000
In 0.064 0.317 0.233
In 0.564 0.683 0.267
In 0.064 0.828 0.500
In 0.564 0.145 0.500
In 0.564 0.683 0.733
In 0.064 0.317 0.767
Te 0.564 0.824 0.000
Te 0.065 0.668 0.244
Te 0.565 0.332 0.256
Te 0.064 0.176 0.500
Te 0.565 0.332 0.744
Te 0.065 0.668 0.756
As 0.064 0.171 0.000
As 0.564 0.829 0.500

Material: LaY4Tm7
Method: DFT, PBE
State: optimized geometry

Values from the calculation:
Space-group type ... P-1
Final energy ... -5.10 eV/atom
E_form ... 89 kJ/mol of formula units
Density ... 7.32 g/cm3
Distance to the lowest polymorph of the same formula ... 0.000 eV per atom
Spin magnetization ... 0.0000 μB per atom

Cell lengths 6.946, 6.701, 12.078 Å; angles 73.01, 45.10, 76.86 degrees
Fractional coordinates of all 12 atoms:
La 0.000 0.000 0.000
Y 0.451 0.650 0.319
Y 0.549 0.350 0.681
Y 0.730 0.813 0.666
Y 0.270 0.187 0.334
Tm 0.775 0.524 0.972
Tm 0.225 0.476 0.028
Tm 0.064 0.320 0.670
Tm 0.936 0.680 0.330
Tm 0.263 0.819 0.630
Tm 0.500 0.000 0.000
Tm 0.737 0.181 0.370

Material: Er4Tl5Cd
Method: DFT, PBE
State: optimized geometry

Values from the calculation:
Space-group type ... Pmmn
Final energy ... -3.10 eV/atom
E_form ... 1 kJ/mol of formula units
Density ... 10.13 g/cm3
Distance to the lowest polymorph of the same formula ... 0.265 eV per atom
Spin magnetization ... 0.0000 μB per atom

Cell lengths 7.596, 10.226, 7.608 Å; angles 90.00, 90.00, 90.00 degrees
Fractional coordinates of all 20 atoms:
Er 0.790 0.000 0.751
Er 0.523 0.685 0.000
Er 0.523 0.315 0.000
Er 0.790 0.000 0.249
Er 0.210 0.500 0.251
Er 0.477 0.815 0.500
Er 0.477 0.185 0.500
Er 0.210 0.500 0.749
Tl 0.185 0.805 0.801
Tl 0.185 0.195 0.801
Tl 0.894 0.500 0.000
Tl 0.185 0.805 0.199
Tl 0.185 0.195 0.199
Tl 0.815 0.695 0.301
Tl 0.815 0.305 0.301
Tl 0.106 0.000 0.500
Tl 0.815 0.305 0.699
Tl 0.815 0.695 0.699
Cd 0.457 0.000 0.000
Cd 0.543 0.500 0.500